No. 1
Below is a geometry-optimized SrZr2Re structure, with properties calculated at the GGA-PBE level.

Unit cell a=4.9153 b=4.9145 c=3.6678 alpha=90.00 beta=90.00 gamma=90.00
Closest atoms and distances in Å follow each position.
Atoms (fractional coordinates):
Re: 0.5000 0.0000 0.5000  8 Zr 3.07
Sr: 0.0000 0.5000 0.5000  8 Zr 3.07
Zr: 0.0000 0.0000 0.0000  4 Sr 3.07, 4 Re 3.07
Zr: 0.5000 0.5000 0.0000  4 Re 3.07, 4 Sr 3.07

Computed properties:
As for the final energy: -7.112 eV/atom. The calculation puts the magnetic moment at 0.00 μB per cell. The calculation puts the relative energy among the computed polymorphs at 568 meV per atom. The space group is P4/mmm.

No. 2
Below is a geometry-optimized Sr2ZrRe structure, with properties calculated at the GGA-PBE level.

Unit cell a=3.0605 b=3.0605 c=11.2860 alpha=90.00 beta=90.00 gamma=99.64
Closest atoms and distances in Å follow each position.
Atoms (fractional coordinates):
Re: 0.5000 0.5000 0.7500  4 Re 3.06, 8 Sr 3.16-3.40
Sr: 0.0000 0.0000 0.9687  4 Sr 3.06, 4 Re 3.16-3.40
Sr: 0.0000 0.0000 0.5313  4 Sr 3.06, 4 Re 3.16-3.40
Zr: 0.5000 0.5000 0.2500  4 Zr 3.06

Computed properties:
As for the final energy: -5.036 eV/atom. The calculation puts the magnetic moment at 0.00 μB per cell. The calculation puts the relative energy among the computed polymorphs at 716 meV per atom. The space group is Cmmm.

- Among the records above, which one has the highest relative energy among the computed polymorphs?
  Sr2ZrRe

- relative energy among the computed polymorphs of number 2 (Sr2ZrRe)?
  716 meV per atom